## PrPuMn2O8 (PBE with a Hubbard U)

Data for a relaxed PrPuMn2O8 crystal.

Unit cell a=6.0648 b=6.0648 c=6.0648 alpha=107.86 beta=107.86 gamma=112.75
Closest atoms and distances in Å follow each position.
Atoms (fractional coordinates):
1 Pr 0.0000 0.0000 0.0000  8 O 2.36-2.53
2 Pu 0.2500 0.7500 0.5000  4 O 2.08
3 Mn 0.5000 0.5000 0.0000  4 O 2.03
4 Mn 0.7500 0.2500 0.5000  4 O 1.70
5 O 0.3012 0.0879 0.7866  1 Mn 2.03, 1 Pu 2.08
6 O 0.3012 0.5146 0.2134  1 Mn 2.03, 1 Pu 2.08
7 O 0.4029 0.0810 0.3219  1 Mn 1.70
8 O 0.4854 0.6988 0.7866  1 Mn 2.03, 1 Pu 2.08
9 O 0.7590 0.0810 0.6781  1 Mn 1.70
10 O 0.9121 0.6988 0.2134  1 Mn 2.03, 1 Pu 2.08
11 O 0.9190 0.2410 0.3219  1 Mn 1.70
12 O 0.9190 0.5971 0.6781  1 Mn 1.70

As for the volume: 14.27 Å³/atom. For the uncorrected energy, the calculation gives -8.192 eV/atom. The total moment comes out at 9.00 μB/cell.